(1)
VASP calculation (GGA+U) on crystalline CrSbPdO6 at its relaxed geometry.

Values from the calculation:
Magnetization in μB per formula unit: 3.0
Total energy in eV/atom: -6.37

Unit cell a=4.641 b=4.641 c=9.395 alpha=90.00 beta=90.00 gamma=90.00
Space group P4_2nm (No. 102)
Asymmetric unit:
Cr 0.000 0.000 0.000 (multiplicity 2)
Sb 0.000 0.000 0.333 (multiplicity 2)
Pd 0.000 0.000 0.667 (multiplicity 2)
O 0.192 0.192 0.167 (multiplicity 4)
O 0.192 0.192 0.836 (multiplicity 4)
O 0.193 0.193 0.498 (multiplicity 4)



(2)
VASP calculation (GGA+U) on crystalline CrSnPdO6 at its relaxed geometry.

Values from the calculation:
Magnetization in μB per formula unit: 2.0
Total energy in eV/atom: -6.29

Unit cell a=4.635 b=4.635 c=9.424 alpha=90.00 beta=90.00 gamma=90.00
Space group P4_2nm (No. 102)
Asymmetric unit:
Cr 0.000 0.000 0.000 (multiplicity 2)
Sn 0.000 0.000 0.331 (multiplicity 2)
Pd 0.000 0.000 0.666 (multiplicity 2)
O 0.185 0.185 0.838 (multiplicity 4)
O 0.193 0.193 0.159 (multiplicity 4)
O 0.203 0.203 0.501 (multiplicity 4)



(3)
VASP calculation (GGA+U) on crystalline SrCr2PdO8 at its relaxed geometry.

Values from the calculation:
Magnetization in μB per formula unit: 2.0
Total energy in eV/atom: -6.49

Unit cell a=5.5000 b=5.5000 c=7.0731 alpha=90.00 beta=90.00 gamma=120.00
Space group P-3 (No. 147)
Asymmetric unit:
Sr 0.0000 0.0000 0.0000 (multiplicity 1)
Cr 0.3333 0.6667 0.7705 (multiplicity 2)
Pd 0.0000 0.0000 0.5000 (multiplicity 1)
O 0.1209 0.3332 0.7004 (multiplicity 6)
O 0.3333 0.6667 0.0028 (multiplicity 2)



(4)
VASP calculation (GGA+U) on crystalline CrTc2PdO at its relaxed geometry.

Values from the calculation:
Magnetization in μB per formula unit: 0.4
Total energy in eV/atom: -6.98

Unit cell a=4.026 b=4.026 c=4.225 alpha=90.00 beta=90.00 gamma=90.00
Space group P4/mmm (No. 123)
Asymmetric unit:
Cr 0.000 0.000 0.000 (multiplicity 1)
Tc 0.000 0.500 0.500 (multiplicity 2)
Pd 0.500 0.500 0.000 (multiplicity 1)
O 0.500 0.500 0.500 (multiplicity 1)



(5)
VASP calculation (GGA+U) on crystalline CrTePdO6 at its relaxed geometry.

Values from the calculation:
Magnetization in μB per formula unit: 3.3
Total energy in eV/atom: -6.09

Unit cell a=4.708 b=4.708 c=9.355 alpha=90.00 beta=90.00 gamma=90.00
Space group P4_2nm (No. 102)
Asymmetric unit:
Cr 0.000 0.000 0.000 (multiplicity 2)
Te 0.000 0.000 0.333 (multiplicity 2)
Pd 0.000 0.000 0.667 (multiplicity 2)
O 0.188 0.188 0.170 (multiplicity 4)
O 0.194 0.194 0.495 (multiplicity 4)
O 0.198 0.198 0.838 (multiplicity 4)



(6)
VASP calculation (GGA+U) on crystalline TlCr2PdO8 at its relaxed geometry.

Values from the calculation:
Magnetization in μB per formula unit: 1.0
Total energy in eV/atom: -6.08

Unit cell a=5.5511 b=5.5511 c=7.7406 alpha=90.00 beta=90.00 gamma=120.00
Space group P-3m1 (No. 164)
Asymmetric unit:
Tl 0.0000 0.0000 0.0000 (multiplicity 1)
Cr 0.3333 0.6667 0.2701 (multiplicity 2)
Pd 0.0000 0.0000 0.5000 (multiplicity 1)
O 0.1654 0.3307 0.3323 (multiplicity 6)
O 0.3333 0.6667 0.0596 (multiplicity 2)